Compound: Mg30ZnNiO32
Source: Alexandria via LeMat-Bulk
Functional: GGA-PBEsol
Structure: optimized geometry

Cell lengths 8.4326, 8.4326, 8.4318 Å; angles 90.00, 90.00, 90.00 degrees
Last column: nearest neighbours and their distance in Å.
Space group P4/mmm (No. 123)
Symmetry-distinct sites (fractional):
Mg 0.0000 0.0000 0.0000 (multiplicity 1)  6 O 2.11
Mg 0.0000 0.0000 0.5000 (multiplicity 1)  6 O 2.11
Mg 0.0000 0.2502 0.2502 (multiplicity 8)  6 O 2.11
Mg 0.0000 0.5000 0.0000 (multiplicity 2)  6 O 2.09-2.11
Mg 0.0000 0.5000 0.5000 (multiplicity 2)  6 O 2.10-2.11
Mg 0.2503 0.2503 0.0000 (multiplicity 4)  6 O 2.11
Mg 0.2512 0.2512 0.5000 (multiplicity 4)  6 O 2.10-2.12
Mg 0.2512 0.5000 0.2511 (multiplicity 8)  6 O 2.10-2.12
Zn 0.5000 0.5000 0.0000 (multiplicity 1)  6 O 2.12-2.13
Ni 0.5000 0.5000 0.5000 (multiplicity 1)  6 O 2.08-2.12
O 0.0000 0.0000 0.2501 (multiplicity 2)  6 Mg 2.11
O 0.0000 0.2501 0.0000 (multiplicity 4)  6 Mg 2.11
O 0.0000 0.2503 0.5000 (multiplicity 4)  6 Mg 2.11-2.12
O 0.0000 0.5000 0.2502 (multiplicity 4)  6 Mg 2.11-2.12
O 0.2482 0.5000 0.0000 (multiplicity 4)  5 Mg 2.09-2.12, 1 Zn 2.12
O 0.2490 0.5000 0.5000 (multiplicity 4)  5 Mg 2.10, 1 Ni 2.12
O 0.2505 0.2505 0.2500 (multiplicity 8)  6 Mg 2.10-2.11
O 0.5000 0.5000 0.2531 (multiplicity 2)  1 Ni 2.08, 4 Mg 2.10, 1 Zn 2.13

Calculated values
Magnetization: 1.9 μB/f.u.
Electronic total energy: -395.79 eV/f.u.
Energy relative to the elements, uncorrected: -16264 kJ/mol of formula units